This record from Alexandria describes crystalline Sr4CoSb at its relaxed geometry. The functional is GGA-PBE.

```
Sr4CoSb
1.0
0.000 4.845 4.845
4.845 0.000 4.845
4.845 4.845 0.000
Sb Co Sr
1 1 4
Direct
0.000 0.000 0.000
0.750 0.750 0.750
0.375 0.375 0.375
0.876 0.375 0.375
0.375 0.876 0.375
0.375 0.375 0.876
```

Results
SG ... F-43m (216)
Energy relative to the elements, uncorrected ... 0.674 eV/atom

---

This record from Alexandria describes crystalline AcSn2Ge at its relaxed geometry. The functional is GGA-PBE.

```
AcSn2Ge
1.0
4.034 0.000 0.000
0.000 4.034 0.000
0.000 0.000 6.946
Ac Sn Ge
1 2 1
Direct
0.500 0.500 0.500
0.000 0.000 0.204
0.000 0.000 0.796
0.500 0.500 0.000
```

Results
SG ... P4/mmm (123)
Distance to the lowest polymorph of the same formula ... 157 meV/atom
Formation enthalpy at 0 K ... -280 meV/atom

---

This record from Alexandria describes crystalline PaTaSi2Os5 at its relaxed geometry. The functional is GGA-PBE.

```
PaTaSi2Os5
1.0
-2.147 -2.116 2.781
-2.607 -1.203 -2.928
4.895 -6.945 -1.504
Pa Os Si Ta
1 5 2 1
Direct
0.000 0.000 0.500
0.500 0.500 0.500
0.000 0.500 0.260
0.000 0.500 0.740
0.500 0.000 0.260
0.500 0.000 0.740
0.500 0.500 0.129
0.500 0.500 0.871
0.000 0.000 0.000
```

Results
SG ... P4/mmm (123)
Energy relative to the elements, uncorrected ... -0.085 eV/atom

---

This record from Alexandria describes crystalline MnAsCSe2 at its relaxed geometry. The functional is GGA-PBE.

```
MnAsCSe2
1.0
4.451 0.000 0.000
0.000 4.451 0.000
0.000 0.000 4.311
Se As Mn C
2 1 1 1
Direct
0.500 0.000 0.000
0.000 0.500 0.000
0.000 0.000 0.500
0.500 0.500 0.500
0.000 0.000 0.000
```

Results
SG ... P4/mmm (123)
Distance to the lowest polymorph of the same formula ... 324 meV/atom
Energy relative to the elements, uncorrected ... 1.067 eV/atom

---

This record from Alexandria describes crystalline HPbO2F at its relaxed geometry. The functional is GGA-PBE.

```
HPbO2F
1.0
4.331 0.000 0.000
0.000 4.331 0.000
0.000 0.000 4.503
O F Pb H
2 1 1 1
Direct
0.500 0.000 0.000
0.000 0.500 0.000
0.000 0.000 0.500
0.000 0.000 0.000
0.500 0.500 0.500
```

Results
SG ... P4/mmm (123)
Final energy ... -3.785 eV per atom

---

This record from Alexandria describes crystalline MgPt2PbC at its relaxed geometry. The functional is GGA-PBE.

```
MgPt2PbC
1.0
-3.367 -1.663 1.605
0.758 -4.586 -3.160
2.244 -1.676 2.971
Pt Pb C Mg
2 1 1 1
Direct
0.000 0.000 0.500
0.500 0.000 0.000
0.000 0.500 0.000
0.000 0.000 0.000
0.500 0.500 0.500
```

Results
SG ... P4/mmm (123)
Formation enthalpy at 0 K ... 377 meV/atom

---

This record from Alexandria describes crystalline AlSi2O2 at its relaxed geometry. The functional is GGA-PBE.

```
AlSi2O2
1.0
3.267 0.000 0.000
0.000 3.267 0.000
1.634 1.634 5.857
Al O Si
1 2 2
Direct
0.000 0.000 0.000
0.250 0.750 0.500
0.750 0.250 0.500
0.340 0.340 0.320
0.660 0.660 0.680
```

Results
SG ... I4/mmm (139)
Distance to the lowest polymorph of the same formula ... 120 meV/atom
Energy relative to the elements, uncorrected ... -0.764 eV/atom

---

This record from Alexandria describes crystalline ZnIn8 at its relaxed geometry. The functional is GGA-PBE.

```
ZnIn8
1.0
-1.935 -3.017 0.600
0.945 -4.200 -7.065
5.592 -5.114 3.320
In Zn
8 1
Direct
0.657 0.000 0.685
0.343 0.315 0.000
0.343 0.000 0.315
0.333 0.667 0.667
0.000 0.667 0.333
0.657 0.685 0.000
0.667 0.333 0.333
0.000 0.333 0.667
0.000 0.000 0.000
```

Results
SG ... I4/mmm (139)
Distance to the lowest polymorph of the same formula ... 3 meV/atom
Formation enthalpy at 0 K ... 54 meV/atom

---

This record from Alexandria describes crystalline BaPuMg at its relaxed geometry. The functional is GGA-PBE.

```
BaPuMg
1.0
3.655 0.000 0.000
-1.827 13.023 3.509
0.000 6.893 6.499
Mg Pu Ba
2 2 2
Direct
0.845 0.689 0.273
0.155 0.311 0.727
0.562 0.124 0.697
0.438 0.876 0.303
0.658 0.316 0.058
0.342 0.684 0.942
```

Results
SG ... C2/m (12)
Formation enthalpy at 0 K ... 345 meV/atom

---

This record from Alexandria describes crystalline ScZnGa2 at its relaxed geometry. The functional is GGA-PBE.

```
ScZnGa2
1.0
4.174 0.000 0.000
2.087 3.615 0.000
2.087 1.205 4.800
Sc Ga Zn
1 2 1
Direct
0.000 0.000 0.000
0.228 0.228 0.317
0.772 0.772 0.683
0.500 0.500 0.500
```

Results
SG ... R-3m (166)
Formation enthalpy at 0 K ... -321 meV/atom

---

This record from Alexandria describes crystalline LiCa2Ta at its relaxed geometry. The functional is GGA-PBE.

```
LiCa2Ta
1.0
0.000 3.828 3.828
3.828 0.000 3.828
3.828 3.828 0.000
Li Ca Ta
1 2 1
Direct
0.000 0.000 0.000
0.250 0.250 0.250
0.750 0.750 0.750
0.500 0.500 0.500
```

Results
SG ... Fm-3m (225)
Distance to the lowest polymorph of the same formula ... 301 meV/atom
Formation enthalpy at 0 K ... 791 meV/atom

---

This record from Alexandria describes crystalline Y3CdGa2 at its relaxed geometry. The functional is GGA-PBE.

```
Y3CdGa2
1.0
-0.766 -0.098 -3.529
-0.990 -3.461 0.311
-10.351 3.155 2.158
Y Ga Cd
3 2 1
Direct
0.000 0.000 0.000
0.000 0.000 0.680
0.000 0.000 0.320
0.500 0.500 0.836
0.500 0.500 0.164
0.500 0.500 0.500
```

Results
SG ... P4/mmm (123)
Formation enthalpy at 0 K ... -520 meV/atom